Sr3Sb2 | PBEsol | optimized geometry

a b c (Å): 5.535 5.535 7.016
angles (deg): 90.00 90.00 120.00
Fractional positions:
Sb  0.333  0.667  0.790
Sr  0.667  0.333  0.688
Sb  0.667  0.333  0.210
Sr  0.000  0.000  0.000
Sr  0.333  0.667  0.312

Summary:
Its uncorrected formation energy is -1018 meV per atom. The value obtained for the total energy is -19.7 eV per cell.